Entry 1:
# Tl2CdBr

Crystalline Tl2CdBr at its relaxed geometry (GGA-PBEsol, Alexandria via LeMat-Bulk).

Computed properties:
DOS(E_F) = 1.2 states/eV per cell
relative energy among the computed polymorphs = 0.00 kJ per mole of atoms
space group = Imm2, No. 44
uncorrected formation energy = -218.8 meV per atom

Cell lengths 6.3744, 6.3744, 6.3744 Å; angles 146.54, 129.82, 61.67 degrees
Fractional coordinates of all 4 atoms:
Tl (0.0000, 0.0000, 0.0000)
Tl (0.7333, 0.2333, 0.5000)
Cd (0.4940, 0.4940, 0.0000)
Br (0.2613, 0.7613, 0.5000)



Entry 2:
# Mg3SnPb

Crystalline Mg3SnPb at its relaxed geometry (GGA-PBEsol, Alexandria via LeMat-Bulk).

Computed properties:
DOS(E_F) = 3.0 states/eV per cell
total DFT energy (no corrections) = -0.16864 Ry/atom
space group = Pm-3m, No. 221

Cell lengths 5.3329, 5.3329, 5.3329 Å; angles 90.00, 90.00, 90.00 degrees
Fractional coordinates of all 5 atoms:
Mg (0.0000, 0.0000, 0.5000)
Mg (0.0000, 0.5000, 0.0000)
Mg (0.5000, 0.0000, 0.0000)
Sn (0.5000, 0.5000, 0.5000)
Pb (0.0000, 0.0000, 0.0000)



Entry 3:
# Fe2ReMo

Crystalline Fe2ReMo at its relaxed geometry (GGA-PBEsol, Alexandria via LeMat-Bulk).

Computed properties:
DOS(E_F) = 3.1 states/eV per cell
total DFT energy (no corrections) = -0.78378 Ry/atom
space group = Pm, No. 6

Cell lengths 2.5664, 4.1979, 4.8977 Å; angles 90.00, 99.03, 90.00 degrees
Fractional coordinates of all 4 atoms:
Fe (0.0000, 0.0000, 0.0000)
Fe (0.1945, 0.5000, 0.7617)
Re (0.4784, 0.0000, 0.5223)
Mo (0.7164, 0.5000, 0.2450)



Entry 4:
# MgTaAl2

Crystalline MgTaAl2 at its relaxed geometry (GGA-PBEsol, Alexandria via LeMat-Bulk).

Computed properties:
DOS(E_F) = 1.8 states/eV per cell
total DFT energy (no corrections) = -0.41608 Ry/atom
space group = I-4m2, No. 119

Cell lengths 5.2710, 5.2710, 5.2710 Å; angles 137.00, 137.00, 62.44 degrees
Fractional coordinates of all 4 atoms:
Mg (0.0000, 0.0000, 0.0000)
Ta (0.7500, 0.2500, 0.5000)
Al (0.2500, 0.7500, 0.5000)
Al (0.5000, 0.5000, 0.0000)



Entry 5:
# K2HgPdF6

Crystalline K2HgPdF6 at its relaxed geometry (GGA-PBEsol, Alexandria via LeMat-Bulk).

Computed properties:
DOS(E_F) = 2.7 states/eV per cell
space group = Fm-3m, No. 225
uncorrected formation energy = -1866.3 meV per atom

Cell lengths 6.1964, 6.1964, 6.1964 Å; angles 60.00, 60.00, 60.00 degrees
Fractional coordinates of all 10 atoms:
K (0.2500, 0.2500, 0.2500)
K (0.7500, 0.7500, 0.7500)
Hg (0.0000, 0.0000, 0.0000)
Pd (0.5000, 0.5000, 0.5000)
F (0.2634, 0.2634, 0.7366)
F (0.2634, 0.7366, 0.2634)
F (0.2634, 0.7366, 0.7366)
F (0.7366, 0.2634, 0.2634)
F (0.7366, 0.2634, 0.7366)
F (0.7366, 0.7366, 0.2634)



Entry 6:
# Be2TcW

Crystalline Be2TcW at its relaxed geometry (GGA-PBEsol, Alexandria via LeMat-Bulk).

Computed properties:
DOS(E_F) = 2.2 states/eV per cell
relative energy among the computed polymorphs = 28.65 kJ per mole of atoms
space group = F-43m, No. 216

Cell lengths 4.0964, 4.0964, 4.0964 Å; angles 60.00, 60.00, 60.00 degrees
Fractional coordinates of all 4 atoms:
Be (0.0000, 0.0000, 0.0000)
Be (0.2500, 0.2500, 0.2500)
Tc (0.7500, 0.7500, 0.7500)
W (0.5000, 0.5000, 0.5000)



Entry 7:
# LiCrTc2

Crystalline LiCrTc2 at its relaxed geometry (GGA-PBEsol, Alexandria via LeMat-Bulk).

Computed properties:
DOS(E_F) = 3.4 states/eV per cell
relative energy among the computed polymorphs = 0.00 kJ per mole of atoms
space group = Pm, No. 6

Cell lengths 2.5061, 4.2174, 4.8786 Å; angles 90.00, 100.18, 90.00 degrees
Fractional coordinates of all 4 atoms:
Li (0.0000, 0.0000, 0.0000)
Cr (0.2323, 0.5000, 0.7548)
Tc (0.4685, 0.0000, 0.5093)
Tc (0.6895, 0.5000, 0.2345)



Entry 8:
# NaWSCl2

Crystalline NaWSCl2 at its relaxed geometry (GGA-PBEsol, Alexandria via LeMat-Bulk).

Computed properties:
DOS(E_F) = 3.4 states/eV per cell
relative energy among the computed polymorphs = 0.00 kJ per mole of atoms
space group = P4/mmm, No. 123
uncorrected formation energy = -507.7 meV per atom

Cell lengths 4.9061, 4.9061, 4.5743 Å; angles 90.00, 90.00, 90.00 degrees
Fractional coordinates of all 5 atoms:
Na (0.0000, 0.0000, 0.0000)
W (0.5000, 0.5000, 0.5000)
S (0.5000, 0.5000, 0.0000)
Cl (0.0000, 0.5000, 0.5000)
Cl (0.5000, 0.0000, 0.5000)